Run w
Below is a geometry-optimized KPt2Au structure, with properties calculated at the GGA-PBE level.

abc: 5.464 5.464 2.777
angles: 90.00 90.00 115.21
Element x y z (fractional)
Au1 0.500 0.000 0.500
K1 0.000 0.500 0.500
Pt1 0.000 0.000 0.000
Pt2 0.500 0.500 0.000

Results
Symmetry ... Cmmm

---

Run x
Below is a geometry-optimized KPt2Au structure, with properties calculated at the GGA-PBE level.

abc: 5.251 5.251 2.788
angles: 90.00 90.00 90.00
Element x y z (fractional)
Au1 0.500 0.000 0.500
K1 0.000 0.500 0.500
Pt1 0.000 0.000 0.000
Pt2 0.500 0.500 0.000

Results
Symmetry ... P4/mmm

---

Stability order, top to bottom: run w, run x

---

Run w
Below is a geometry-optimized KPtAu3 structure, with properties calculated at the GGA-PBE level.

abc: 5.238 5.238 5.238
angles: 90.00 90.00 90.00
Element x y z (fractional)
K1 0.000 0.000 0.000
Au1 0.000 0.500 0.000
Au2 0.000 0.000 0.500
Au3 0.500 0.000 0.000
Pt1 0.500 0.500 0.500

Results
Symmetry ... Pm-3m

---

Run x
Below is a geometry-optimized KPtAu3 structure, with properties calculated at the GGA-PBE level.

abc: 5.564 5.887 7.236
angles: 114.00 90.00 90.00
Element x y z (fractional)
K1 0.250 0.411 0.822
K2 0.750 0.589 0.178
Pt1 0.000 0.000 0.000
Pt2 0.500 0.000 0.000
Au1 0.250 0.819 0.637
Au2 0.750 0.181 0.363
Au3 0.250 0.393 0.295
Au4 0.750 0.607 0.705
Au5 0.250 0.903 0.295
Au6 0.750 0.097 0.705

Results
Symmetry ... Cmcm

---

Stability order, top to bottom: run x, run w